(1)
# Ba3AgAu2 GGA-PBE relaxed
data_Ba3AgAu2
_chemical_formula_sum 'Ba3 Ag1 Au2'
_space_group_name_H-M_alt 'P 1'
_space_group_IT_number 1
_space_group_name_Hall 'P 1'
_cell_length_a 4.0829
_cell_length_b 5.7339
_cell_length_c 9.0405
_cell_angle_alpha 108.49
_cell_angle_beta 90.00
_cell_angle_gamma 90.00
loop_
_atom_site_label
_atom_site_type_symbol
_atom_site_fract_x
_atom_site_fract_y
_atom_site_fract_z
Ba1 Ba 0.5000 0.5000 0.0000
Ba2 Ba 0.5000 0.8290 0.6580
Ba3 Ba 0.5000 0.1710 0.3420
Ag1 Ag 0.0000 0.0000 0.0000
Au1 Au 0.0000 0.3369 0.6738
Au2 Au 0.0000 0.6631 0.3262
# - density of states at the Fermi level (states/eV per cell) = 5.43
# - theoretical density (g cm⁻³) = 7.560
# - energy of formation from the pure elements (kJ/mol of formula units) = -311
# - total moment (μB/f.u.) = 0.000

***

(2)
# Dy2ScGa GGA-PBE relaxed
data_Dy2ScGa
_chemical_formula_sum 'Dy2 Sc1 Ga1'
_space_group_name_H-M_alt 'P 1'
_space_group_IT_number 1
_space_group_name_Hall 'P 1'
_cell_length_a 3.3999
_cell_length_b 3.3999
_cell_length_c 11.5153
_cell_angle_alpha 81.51
_cell_angle_beta 81.51
_cell_angle_gamma 60.00
loop_
_atom_site_label
_atom_site_type_symbol
_atom_site_fract_x
_atom_site_fract_y
_atom_site_fract_z
Sc1 Sc 0.5000 0.5000 0.5000
Ga1 Ga 0.0000 0.0000 0.0000
Dy1 Dy 0.0880 0.0880 0.7359
Dy2 Dy 0.9120 0.9120 0.2641
# - density of states at the Fermi level (states/eV per cell) = 4.24
# - theoretical density (g cm⁻³) = 6.428
# - energy of formation from the pure elements (kJ/mol of formula units) = 54
# - total moment (μB/f.u.) = 0.000